1.
# PBE-GGA YTaBr2, relaxed
data_YTaBr2
_space_group_name_H-M_alt 'C m m m'
_space_group_IT_number 65
_space_group_name_Hall '-C 2 2'
_cell_length_a 3.2167
_cell_length_b 6.1509
_cell_length_c 9.4809
_cell_angle_alpha 90.00
_cell_angle_beta 90.00
_cell_angle_gamma 90.00
loop_
_atom_site_label
_atom_site_fract_x
_atom_site_fract_y
_atom_site_fract_z
Y1 0.0000 0.0000 0.0000
Ta1 0.0000 0.0000 0.5000
Br1 0.0000 0.5000 0.2684
# - Density: 7.61 g cm⁻³
# - Formation energy (no corrections): 20 meV/atom

=====

2.
# PBE-GGA MnReTe3, relaxed
data_MnReTe3
_space_group_name_H-M_alt 'P m -3 m'
_space_group_IT_number 221
_space_group_name_Hall '-P 4 2 3'
_cell_length_a 5.2642
_cell_length_b 5.2642
_cell_length_c 5.2642
_cell_angle_alpha 90.00
_cell_angle_beta 90.00
_cell_angle_gamma 90.00
loop_
_atom_site_label
_atom_site_fract_x
_atom_site_fract_y
_atom_site_fract_z
Mn1 0.0000 0.0000 0.0000
Re1 0.5000 0.5000 0.5000
Te1 0.0000 0.5000 0.5000
# - Density: 7.10 g cm⁻³
# - Formation energy (no corrections): 967 meV/atom

=====

Ordered E above lowest polymorph results: 501, 0; unit meV per atom.